No. 1
Material: ZnGeWS2
Method: DFT, PBE
State: relaxed

- electronic total energy (Ry/atom) = -0.303

a = 4.871 Å, b = 4.871 Å, c = 4.504 Å
α = 90.00°, β = 90.00°, γ = 90.00°
Space group P4/mmm (No. 123)
Asymmetric unit:
Zn: 0.000 0.000 0.000
Ge: 0.000 0.000 0.500
W: 0.500 0.500 0.000
S: 0.000 0.500 0.500

No. 2
Material: Y12Ge5S28
Method: DFT, PBE
State: relaxed

- electronic total energy (Ry/atom) = -0.462

a = 9.813 Å, b = 11.428 Å, c = 11.446 Å
α = 61.88°, β = 64.62°, γ = 64.59°
Space group P1 (No. 1)
Asymmetric unit:
Y: 0.000 0.000 0.000
Y: 0.002 0.467 0.514
Y: 0.074 0.703 0.711
Y: 0.084 0.192 0.228
Y: 0.353 0.654 0.213
Y: 0.355 0.174 0.671
Y: 0.435 0.894 0.387
Y: 0.446 0.350 0.915
Y: 0.563 0.231 0.271
Y: 0.586 0.741 0.746
Y: 0.854 0.609 0.167
Y: 0.867 0.134 0.631
Ge: 0.221 0.643 0.991
Ge: 0.551 0.511 0.465
Ge: 0.554 0.000 0.953
Ge: 0.885 0.430 0.873
Ge: 0.886 0.928 0.370
S: 0.062 0.163 0.728
S: 0.067 0.654 0.228
S: 0.117 0.956 0.523
S: 0.121 0.438 0.721
S: 0.121 0.454 0.027
S: 0.124 0.935 0.217
S: 0.315 0.151 0.943
S: 0.317 0.671 0.460
S: 0.317 0.824 0.947
S: 0.318 0.370 0.427
S: 0.357 0.635 0.764
S: 0.382 0.158 0.206
S: 0.466 0.482 0.056
S: 0.475 0.982 0.547
S: 0.550 0.321 0.650
S: 0.554 0.816 0.145
S: 0.637 0.470 0.267
S: 0.646 0.968 0.752
S: 0.689 0.642 0.432
S: 0.711 0.121 0.912
S: 0.736 0.461 0.751
S: 0.743 0.965 0.240
S: 0.792 0.630 0.909
S: 0.793 0.126 0.410
S: 0.879 0.247 0.066
S: 0.892 0.734 0.553
S: 0.953 0.341 0.396
S: 0.986 0.804 0.928

No. 3
Material: Y5GeS5
Method: DFT, PBE
State: relaxed

- electronic total energy (Ry/atom) = -0.523

a = 12.579 Å, b = 5.598 Å, c = 7.947 Å
α = 90.00°, β = 108.35°, γ = 90.00°
Space group C2/m (No. 12)
Asymmetric unit:
Y: 0.000 0.000 0.000
Y: 0.161 0.500 0.824
Y: 0.165 0.500 0.337
Ge: 0.000 0.500 0.000
S: 0.000 0.500 0.500
S: 0.171 0.000 0.333
S: 0.173 0.000 0.842

No. 4
Material: Y4GeS3
Method: DFT, PBE
State: relaxed

- electronic total energy (Ry/atom) = -0.521

a = 4.0061 Å, b = 4.0061 Å, c = 38.8905 Å
α = 90.00°, β = 90.00°, γ = 120.00°
Space group R-3m (No. 166, hexagonal axes)
Asymmetric unit:
Y: 0.0000 0.0000 0.1247
Y: 0.0000 0.0000 0.3729
Ge: 0.0000 0.0000 0.5000
S: 0.0000 0.0000 0.0000
S: 0.0000 0.0000 0.2527

No. 5
Material: Y2GeS4
Method: DFT, PBE
State: relaxed

- electronic total energy (Ry/atom) = -0.448

a = 6.154 Å, b = 6.154 Å, c = 11.887 Å
α = 90.00°, β = 90.00°, γ = 90.00°
Space group I-42m (No. 121)
Asymmetric unit:
Y: 0.000 0.500 0.250
Ge: 0.000 0.000 0.000
S: 0.243 0.243 0.127

No. 6
Material: YGeS2
Method: DFT, PBE
State: relaxed

- electronic total energy (Ry/atom) = -0.432

a = 3.8942 Å, b = 3.8942 Å, c = 24.5886 Å
α = 90.00°, β = 90.00°, γ = 120.00°
Space group R-3m (No. 166, hexagonal axes)
Asymmetric unit:
Y: 0.0000 0.0000 0.0000
Ge: 0.0000 0.0000 0.5000
S: 0.0000 0.0000 0.3955

No. 7
Material: YGeS3
Method: DFT, PBE
State: relaxed

- energy above the most stable polymorph in this dataset (eV/f.u.) = 2.35

a = 4.701 Å, b = 4.701 Å, c = 4.701 Å
α = 90.00°, β = 90.00°, γ = 90.00°
Space group Pm-3m (No. 221)
Asymmetric unit:
Y: 0.000 0.000 0.000
Ge: 0.500 0.500 0.500
S: 0.000 0.500 0.500

No. 8
Material: Y2GeS
Method: DFT, PBE
State: relaxed

- energy above the most stable polymorph in this dataset (eV/f.u.) = 0.00

a = 5.728 Å, b = 5.728 Å, c = 11.461 Å
α = 90.00°, β = 90.00°, γ = 90.00°
Space group I4_1/amd (No. 141, origin choice 2)
Asymmetric unit:
Y: 0.000 0.250 0.123
Ge: 0.000 0.250 0.375
S: 0.000 0.250 0.875

No. 9
Material: YGeS3
Method: DFT, PBE
State: relaxed

- energy above the most stable polymorph in this dataset (eV/f.u.) = 0.00

a = 6.581 Å, b = 7.123 Å, c = 11.509 Å
α = 90.00°, β = 122.65°, γ = 90.00°
Space group P2_1/c (No. 14)
Asymmetric unit:
Y: 0.201 0.123 0.256
Ge: 0.152 0.611 0.068
S: 0.076 0.167 0.918
S: 0.273 0.698 0.929
S: 0.429 0.030 0.763

No. 10
Material: Y5Ge2S2
Method: DFT, PBE
State: relaxed

- electronic total energy (Ry/atom) = -0.498

a = 14.254 Å, b = 7.514 Å, c = 7.636 Å
α = 90.00°, β = 90.00°, γ = 90.00°
Space group Cmce (No. 64)
Asymmetric unit:
Y: 0.000 0.000 0.000
Y: 0.140 0.168 0.342
Ge: 0.000 0.134 0.635
S: 0.196 0.000 0.000

No. 11
Material: Y2GeS
Method: DFT, PBE
State: relaxed

- energy above the most stable polymorph in this dataset (eV/f.u.) = 1.99

a = 7.081 Å, b = 7.081 Å, c = 7.081 Å
α = 90.00°, β = 90.00°, γ = 90.00°
Space group Fm-3m (No. 225)
Asymmetric unit:
Y: 0.250 0.250 0.250
Ge: 0.000 0.000 0.000
S: 0.000 0.000 0.500

No. 12
Material: YGeS2
Method: DFT, PBE
State: relaxed

- electronic total energy (Ry/atom) = -0.411

a = 5.519 Å, b = 5.519 Å, c = 14.451 Å
α = 90.00°, β = 90.00°, γ = 90.00°
Space group I-42d (No. 122)
Asymmetric unit:
Y: 0.000 0.000 0.000
Ge: 0.000 0.000 0.500
S: 0.249 0.250 0.125

No. 13
Material: YGeS3
Method: DFT, PBE
State: relaxed

- energy above the most stable polymorph in this dataset (eV/f.u.) = 0.33

a = 6.924 Å, b = 6.611 Å, c = 10.906 Å
α = 90.00°, β = 90.00°, γ = 90.00°
Space group Pna2_1 (No. 33)
Asymmetric unit:
Y: 0.099 0.067 0.000
Ge: 0.082 0.539 0.165
S: 0.096 0.672 0.357
S: 0.159 0.242 0.559
S: 0.159 0.752 0.662

No. 14
Material: Y4GeS2
Method: DFT, PBE
State: relaxed

- energy above the most stable polymorph in this dataset (eV/f.u.) = 3.26

a = 5.387 Å, b = 5.387 Å, c = 13.925 Å
α = 90.00°, β = 90.00°, γ = 90.00°
Space group I4/mmm (No. 139)
Asymmetric unit:
Y: 0.000 0.000 0.212
Y: 0.000 0.500 0.000
Ge: 0.000 0.000 0.000
S: 0.000 0.000 0.395

No. 15
Material: YGe2S
Method: DFT, PBE
State: relaxed

- electronic total energy (Ry/atom) = -0.384

a = 8.007 Å, b = 8.007 Å, c = 5.414 Å
α = 90.00°, β = 90.00°, γ = 90.00°
Space group I-42d (No. 122)
Asymmetric unit:
Y: 0.000 0.000 0.000
Ge: 0.216 0.750 0.625
S: 0.000 0.000 0.500

No. 16
Material: Y7GeS5
Method: DFT, PBE
State: relaxed

- electronic total energy (Ry/atom) = -0.524

a = 3.956 Å, b = 12.823 Å, c = 23.210 Å
α = 90.00°, β = 90.00°, γ = 90.00°
Space group Cmcm (No. 63)
Asymmetric unit:
Y: 0.000 0.034 0.250
Y: 0.000 0.137 0.537
Y: 0.000 0.315 0.177
Y: 0.000 0.407 0.613
Ge: 0.000 0.303 0.750
S: 0.000 0.047 0.642
S: 0.000 0.226 0.071
S: 0.000 0.500 0.000

No. 17
Material: Y8GeS6
Method: DFT, PBE
State: relaxed

- electronic total energy (Ry/atom) = -0.510

a = 10.1305 Å, b = 10.1305 Å, c = 3.9447 Å
α = 90.00°, β = 90.00°, γ = 120.00°
Space group P-3 (No. 147)
Asymmetric unit:
Y: 0.0331 0.3267 0.2449
Y: 0.3333 0.6667 0.7527
Ge: 0.0000 0.0000 0.0000
S: 0.1345 0.6528 0.2517

No. 18
Material: Y4GeS2
Method: DFT, PBE
State: relaxed

- energy above the most stable polymorph in this dataset (eV/f.u.) = 0.00

a = 7.025 Å, b = 11.951 Å, c = 4.096 Å
α = 90.00°, β = 90.00°, γ = 90.00°
Space group Pbam (No. 55)
Asymmetric unit:
Y: 0.117 0.216 0.000
Y: 0.239 0.454 0.500
Ge: 0.000 0.000 0.000
S: 0.103 0.686 0.500

No. 19
Material: Y3GeS2
Method: DFT, PBE
State: relaxed

- energy above the most stable polymorph in this dataset (eV/f.u.) = 0.34

a = 4.0310 Å, b = 4.0310 Å, c = 9.7705 Å
α = 90.00°, β = 90.00°, γ = 120.00°
Space group P-3m1 (No. 164)
Asymmetric unit:
Y: 0.0000 0.0000 0.0000
Y: 0.3333 0.6667 0.6657
Ge: 0.0000 0.0000 0.5000
S: 0.3333 0.6667 0.1593

No. 20
Material: Y2GeS
Method: DFT, PBE
State: relaxed

- energy above the most stable polymorph in this dataset (eV/f.u.) = 2.13

a = 6.184 Å, b = 6.184 Å, c = 13.337 Å
α = 90.00°, β = 90.00°, γ = 90.00°
Space group I-42d (No. 122)
Asymmetric unit:
Y: 0.242 0.250 0.125
Ge: 0.000 0.000 0.500
S: 0.000 0.000 0.000